Rb2MgBi | PBE-GGA | relaxed

```
Rb2MgBi
1.0
0.0000 4.4178 4.4178
4.4178 0.0000 4.4178
4.4178 4.4178 0.0000
Rb Mg Bi
2 1 1
Direct
0.2500 0.2500 0.2500 Rb
0.7500 0.7500 0.7500 Rb
0.0000 0.0000 0.0000 Mg
0.5000 0.5000 0.5000 Bi
```

Values from the calculation:
Energy relative to the lowest polymorph listed for this composition, kJ per mole of atoms: 0.0
Raw total energy, eV/atom: -1.83
Energy relative to the elements, eV per formula unit: 0.1